No. 1
## Rb2UVS5 (GGA-PBE)

Data for a relaxed Rb2UVS5 crystal.

Output
SG: No. 36
N(E_F): 11.9 states/eV per cell
E_tot: -107.2 eV for the cell shown

Cell lengths 9.7518, 9.7518, 14.0166 Å; angles 90.00, 90.00, 155.90 degrees
Fractional coordinates of all 18 atoms:
1 Rb 0.1253 0.8747 0.5000
2 Rb 0.1288 0.8712 0.1521
3 Rb 0.8712 0.1288 0.6521
4 Rb 0.8747 0.1253 0.0000
5 U 0.1950 0.8050 0.8439
6 U 0.8050 0.1950 0.3439
7 V 0.4338 0.5662 0.2473
8 V 0.5662 0.4338 0.7473
9 S 0.0488 0.9512 0.8285
10 S 0.3102 0.6898 0.4653
11 S 0.3164 0.6836 0.2135
12 S 0.3239 0.6761 0.8275
13 S 0.4893 0.5107 0.1163
14 S 0.5107 0.4893 0.6163
15 S 0.6761 0.3239 0.3275
16 S 0.6836 0.3164 0.7135
17 S 0.6898 0.3102 0.9653
18 S 0.9512 0.0488 0.3285

***

No. 2
## Rb2U2VS6 (GGA-PBE)

Data for a relaxed Rb2U2VS6 crystal.

Output
SG: No. 12
N(E_F): 13.6 states/eV per cell
E_tot: -72.6 eV for the cell shown

Cell lengths 6.6664, 6.6664, 8.2215 Å; angles 97.92, 97.92, 119.43 degrees
Fractional coordinates of all 11 atoms:
1 Rb 0.1690 0.8310 0.0000
2 Rb 0.8310 0.1690 0.0000
3 U 0.3341 0.6659 0.5000
4 U 0.6659 0.3341 0.5000
5 V 0.0000 0.0000 0.5000
6 S 0.0623 0.3775 0.6830
7 S 0.2500 0.2500 0.3174
8 S 0.3775 0.0623 0.6830
9 S 0.6225 0.9377 0.3170
10 S 0.7500 0.7500 0.6826
11 S 0.9377 0.6225 0.3170

***

| no. | calculated volume (Å³/f.u.) | ΔE_f (raw) (meV per atom) |
| --- | --- | --- |
| 1 | 272.1 | -1182.4 |
| 2 | 306.1 | -1292.4 |